Record 1
Below is Mg2ScUO6 after structural relaxation, with properties calculated at the GGA-PBE level.

Cell: 5.4012 5.4012 5.7488 Å, 61.98 61.98 60.00°
With the nearest neighbours (Å) after each atom.
Element x y z (fractional)
O (0.1114, 0.4155, 0.7561)  2 Mg 2.08-2.28, 1 Sc 2.11, 1 U 2.18
O (0.6184, 0.2161, 0.2563)  2 Mg 2.05-2.24, 1 U 2.15, 1 Sc 2.18
O (0.9092, 0.6184, 0.2563)  2 Mg 2.05-2.24, 1 U 2.15, 1 Sc 2.18
O (0.7170, 0.1114, 0.7561)  2 Mg 2.08-2.28, 1 Sc 2.11, 1 U 2.18
O (0.2161, 0.9092, 0.2563)  2 Mg 2.05-2.24, 1 U 2.15, 1 Sc 2.18
O (0.4155, 0.7170, 0.7561)  2 Mg 2.08-2.28, 1 Sc 2.11, 1 U 2.18
U (0.3149, 0.3149, 0.0554)  6 O 2.15-2.18
Sc (0.8132, 0.8132, 0.5605)  6 O 2.11-2.18
Mg (0.0214, 0.0214, 0.9356)  6 O 2.08-2.24
Mg (0.5244, 0.5244, 0.4267)  6 O 2.05-2.28

SG ... R3, No. 146
Total energy ... -81.304 eV for the cell shown
Magnetic moment ... 1.0 μB/cell
Raw formation energy ... -30.746 eV per formula unit


Record 2
Below is Ac2TiO5 after structural relaxation, with properties calculated at the GGA-PBE level.

Cell: 4.0625 11.4436 11.6958 Å, 90.00 90.00 90.00°
With the nearest neighbours (Å) after each atom.
Element x y z (fractional)
O (0.2500, 0.0475, 0.1745)  1 Ti 1.80
O (0.7500, 0.7398, 0.3718)  2 Ti 2.09
O (0.7500, 0.7745, 0.0279)  1 Ti 1.89
O (0.2500, 0.2602, 0.6282)  2 Ti 2.09
O (0.7500, 0.2745, 0.4721)  1 Ti 1.89
O (0.2500, 0.9905, 0.6017)  4 Ac 2.45-2.55
O (0.7500, 0.4525, 0.6745)  1 Ti 1.80
O (0.7500, 0.2398, 0.1282)  2 Ti 2.09
O (0.2500, 0.7869, 0.2300)  1 Ti 1.91
O (0.7500, 0.2131, 0.7700)  1 Ti 1.91
O (0.7500, 0.5095, 0.1017)  4 Ac 2.45-2.55
O (0.7500, 0.9525, 0.8255)  1 Ti 1.80
O (0.2500, 0.7255, 0.5279)  1 Ti 1.89
O (0.7500, 0.7131, 0.7300)  1 Ti 1.91
O (0.2500, 0.2255, 0.9721)  1 Ti 1.89
O (0.2500, 0.5475, 0.3255)  1 Ti 1.80
O (0.2500, 0.4905, 0.8983)  4 Ac 2.45-2.55
O (0.7500, 0.0095, 0.3983)  4 Ac 2.45-2.55
O (0.2500, 0.2869, 0.2700)  1 Ti 1.91
O (0.2500, 0.7602, 0.8718)  2 Ti 2.09
Ti (0.7500, 0.3017, 0.6315)  3 O 1.80-1.91
Ti (0.2500, 0.6983, 0.3685)  3 O 1.80-1.91
Ti (0.7500, 0.8017, 0.8685)  3 O 1.80-1.91
Ti (0.2500, 0.1983, 0.1315)  3 O 1.80-1.91
Ac (0.2500, 0.1374, 0.4398)  7 O 2.53-2.62
Ac (0.2500, 0.0902, 0.7872)  7 O 2.45-2.69
Ac (0.2500, 0.6374, 0.0602)  7 O 2.53-2.62
Ac (0.7500, 0.8626, 0.5602)  7 O 2.53-2.62
Ac (0.2500, 0.5902, 0.7128)  7 O 2.45-2.69
Ac (0.7500, 0.4098, 0.2872)  7 O 2.45-2.69
Ac (0.7500, 0.9098, 0.2128)  7 O 2.45-2.69
Ac (0.7500, 0.3626, 0.9398)  7 O 2.53-2.62

DOS at the Fermi energy ... 0.000 states/eV per atom
SG ... Pnma, No. 62
Total energy ... -271.320 eV for the cell shown
Magnetic moment ... 0.0 μB/cell
Raw formation energy ... -26.927 eV per formula unit


Record 3
Below is CaLa2Br after structural relaxation, with properties calculated at the GGA-PBE level.

Cell: 6.6627 4.6278 4.6278 Å, 90.00 90.00 90.00°
With the nearest neighbours (Å) after each atom.
Element x y z (fractional)
La (0.0000, 0.5000, 0.5000)  4 La 3.27
La (0.0000, 0.0000, 0.0000)  4 La 3.27
Br (0.5000, 0.5000, 0.0000)  4 Ca 3.27
Ca (0.5000, 0.0000, 0.5000)  4 Br 3.27

DOS at the Fermi energy ... 1.509 states/eV per atom
SG ... P4/mmm, No. 123
Total energy ... -14.401 eV for the cell shown
Magnetic moment ... 0.1 μB/cell
Raw formation energy ... -0.872 eV per formula unit


Record 4
Below is Si5Ge3Te12 after structural relaxation, with properties calculated at the GGA-PBE level.

Cell: 14.6287 14.6287 14.6287 Å, 109.47 109.47 109.47°
With the nearest neighbours (Å) after each atom.
Element x y z (fractional)
Te (0.2137, 0.6784, 0.0881)  2 Si 2.57-2.81
Te (0.9097, 0.8216, 0.5352)  2 Si 2.57-2.81
Te (0.0903, 0.9119, 0.1255)  2 Si 2.57-2.81
Te (0.5881, 0.8745, 0.4097)  2 Si 2.57-2.81
Te (0.0903, 0.1784, 0.4648)  2 Si 2.57-2.81
Te (0.2863, 0.4119, 0.8216)  2 Si 2.57-2.81
Te (0.7863, 0.4648, 0.3745)  2 Si 2.57-2.81
Te (0.7137, 0.1255, 0.0352)  2 Si 2.57-2.81
Te (0.3745, 0.4097, 0.0881)  2 Si 2.57-2.81
Te (0.1784, 0.0881, 0.7137)  2 Si 2.57-2.81
Te (0.7137, 0.5881, 0.1784)  2 Si 2.57-2.81
Te (0.5352, 0.3216, 0.9097)  2 Si 2.57-2.81
Te (0.0352, 0.4097, 0.8216)  2 Si 2.57-2.81
Te (0.5903, 0.9648, 0.6784)  2 Si 2.57-2.81
Te (0.6255, 0.0352, 0.2137)  2 Si 2.57-2.81
Te (0.4097, 0.3745, 0.5881)  2 Si 2.57-2.81
Te (0.6784, 0.4648, 0.5903)  2 Si 2.57-2.81
Te (0.3745, 0.9648, 0.7863)  2 Si 2.57-2.81
Te (0.4648, 0.7863, 0.8745)  2 Si 2.57-2.81
Te (0.1784, 0.0903, 0.9648)  2 Si 2.57-2.81
Te (0.9097, 0.0881, 0.8745)  2 Si 2.57-2.81
Te (0.4648, 0.6784, 0.0903)  2 Si 2.57-2.81
Te (0.6255, 0.5903, 0.9119)  2 Si 2.57-2.81
Te (0.2137, 0.5352, 0.6255)  2 Si 2.57-2.81
Te (0.5881, 0.7137, 0.6784)  2 Si 2.57-2.81
Te (0.0352, 0.6255, 0.7137)  2 Si 2.57-2.81
Te (0.2863, 0.8745, 0.9648)  2 Si 2.57-2.81
Te (0.9119, 0.8216, 0.7863)  2 Si 2.57-2.81
Te (0.6784, 0.2137, 0.5881)  2 Si 2.57-2.81
Te (0.8745, 0.5881, 0.9097)  2 Si 2.57-2.81
Te (0.0881, 0.1784, 0.2137)  2 Si 2.57-2.81
Te (0.1255, 0.4119, 0.0903)  2 Si 2.57-2.81
Te (0.8216, 0.9119, 0.2863)  2 Si 2.57-2.81
Te (0.3216, 0.5352, 0.4097)  2 Si 2.57-2.81
Te (0.9648, 0.3745, 0.2863)  2 Si 2.57-2.81
Te (0.3216, 0.7863, 0.4119)  2 Si 2.57-2.81
Te (0.5903, 0.6255, 0.4119)  2 Si 2.57-2.81
Te (0.1255, 0.7137, 0.5352)  2 Si 2.57-2.81
Te (0.4119, 0.2863, 0.3216)  2 Si 2.57-2.81
Te (0.8745, 0.2863, 0.4648)  2 Si 2.57-2.81
Te (0.8216, 0.9097, 0.0352)  2 Si 2.57-2.81
Te (0.0881, 0.9097, 0.3745)  2 Si 2.57-2.81
Te (0.4097, 0.0352, 0.3216)  2 Si 2.57-2.81
Te (0.7863, 0.3216, 0.9119)  2 Si 2.57-2.81
Te (0.9119, 0.0903, 0.6255)  2 Si 2.57-2.81
Te (0.9648, 0.5903, 0.1784)  2 Si 2.57-2.81
Te (0.4119, 0.1255, 0.5903)  2 Si 2.57-2.81
Te (0.5352, 0.2137, 0.1255)  2 Si 2.57-2.81
Si (0.2500, 0.3750, 0.6250)  4 Te 2.57
Si (0.6250, 0.7500, 0.8750)  4 Te 2.57
Si (0.7500, 0.6250, 0.3750)  4 Te 2.57
Si (0.0000, 0.5000, 0.5000)  6 Te 2.81
Si (0.2500, 0.8750, 0.1250)  4 Te 2.57
Si (0.6250, 0.8750, 0.2500)  4 Te 2.57
Si (0.7500, 0.1250, 0.8750)  4 Te 2.57
Si (0.1250, 0.3750, 0.2500)  4 Te 2.57
Si (0.8750, 0.2500, 0.6250)  4 Te 2.57
Si (0.3750, 0.2500, 0.1250)  4 Te 2.57
Si (0.0000, 0.0000, 0.5000)  6 Te 2.81
Si (0.5000, 0.0000, 0.0000)  6 Te 2.81
Si (0.5000, 0.0000, 0.5000)  6 Te 2.81
Si (0.0000, 0.0000, 0.0000)  6 Te 2.81
Si (0.5000, 0.5000, 0.0000)  6 Te 2.81
Si (0.0000, 0.5000, 0.0000)  6 Te 2.81
Si (0.3750, 0.1250, 0.7500)  4 Te 2.57
Si (0.8750, 0.6250, 0.7500)  4 Te 2.57
Si (0.5000, 0.5000, 0.5000)  6 Te 2.81
Si (0.1250, 0.7500, 0.3750)  4 Te 2.57
Ge (0.6250, 0.3750, 0.7500)  8 Te 3.22-3.24
Ge (0.7500, 0.3750, 0.1250)  8 Te 3.22-3.24
Ge (0.7500, 0.8750, 0.6250)  8 Te 3.22-3.24
Ge (0.3750, 0.6250, 0.2500)  8 Te 3.22-3.24
Ge (0.3750, 0.7500, 0.6250)  8 Te 3.22-3.24
Ge (0.6250, 0.2500, 0.3750)  8 Te 3.22-3.24
Ge (0.2500, 0.6250, 0.8750)  8 Te 3.22-3.24
Ge (0.8750, 0.1250, 0.2500)  8 Te 3.22-3.24
Ge (0.1250, 0.2500, 0.8750)  8 Te 3.22-3.24
Ge (0.8750, 0.7500, 0.1250)  8 Te 3.22-3.24
Ge (0.2500, 0.1250, 0.3750)  8 Te 3.22-3.24
Ge (0.1250, 0.8750, 0.7500)  8 Te 3.22-3.24

DOS at the Fermi energy ... 0.400 states/eV per atom
SG ... Ia-3d, No. 230
Total energy ... -303.593 eV for the cell shown
Magnetic moment ... 0.0 μB/cell
Raw formation energy ... 2.769 eV per formula unit


Record 5
Below is Sr2CrCd after structural relaxation, with properties calculated at the GGA-PBE level.

Cell: 3.8993 3.8993 8.8989 Å, 90.00 90.00 90.00°
With the nearest neighbours (Å) after each atom.
Element x y z (fractional)
Sr (0.5000, 0.5000, 0.3129)  1 Cr 3.36, 4 Cd 3.52
Sr (0.0000, 0.0000, 0.9378)  1 Cd 3.37, 4 Cr 3.53
Cr (0.5000, 0.5000, 0.6902)  4 Cd 2.99
Cd (0.0000, 0.0000, 0.5591)  4 Cr 2.99

DOS at the Fermi energy ... 0.851 states/eV per atom
SG ... P4mm, No. 99
Total energy ... -12.887 eV for the cell shown
Magnetic moment ... 4.6 μB/cell


Repeat the fifth record exactly.
Below is Sr2CrCd after structural relaxation, with properties calculated at the GGA-PBE level.

Cell: 3.8993 3.8993 8.8989 Å, 90.00 90.00 90.00°
With the nearest neighbours (Å) after each atom.
Element x y z (fractional)
Sr (0.5000, 0.5000, 0.3129)  1 Cr 3.36, 4 Cd 3.52
Sr (0.0000, 0.0000, 0.9378)  1 Cd 3.37, 4 Cr 3.53
Cr (0.5000, 0.5000, 0.6902)  4 Cd 2.99
Cd (0.0000, 0.0000, 0.5591)  4 Cr 2.99

DOS at the Fermi energy ... 0.851 states/eV per atom
SG ... P4mm, No. 99
Total energy ... -12.887 eV for the cell shown
Magnetic moment ... 4.6 μB/cell